## Rb2HgSb2 (SCAN)

Data for a PBEsol-optimized structure of Rb2HgSb2.

The value obtained for the density of states at the Fermi level is 6.11 states/eV per cell. The calculation puts the final energy at -1.362 Ha/atom. For the energy relative to the elements, uncorrected, the calculation gives -232 meV/atom. Its mass density is 5.19 g cm⁻³. For the volume, the calculation gives 393.6 Å³ per cell. As for the total magnetic moment: 0.000 μB per atom.

It has space group I4/mmm (No. 139), with a = 4.2644 Å, b = 4.2644 Å, c = 21.6439 Å, α = 90.00°, β = 90.00° and γ = 90.00°. The distinct sites, in fractional coordinates, are Rb at (0.0000, 0.0000, 0.1086), Hg at (0.0000, 0.0000, 0.5000) and Sb at (0.0000, 0.5000, 0.2500).